# 1
# Dy3Tm8Sc2 | Alexandria | PBE | relaxed
data_Dy3Tm8Sc2
_chemical_formula_sum 'Dy3 Tm8 Sc2'
_cell_length_a 6.614
_cell_length_b 9.221
_cell_length_c 9.221
_cell_angle_alpha 58.28
_cell_angle_beta 62.69
_cell_angle_gamma 62.69
_symmetry_space_group_name_H-M 'P 1'
_symmetry_Int_Tables_number 1
loop_
_symmetry_equiv_pos_as_xyz
'x,y,z'
loop_
_atom_site_label
_atom_site_type_symbol
_atom_site_fract_x
_atom_site_fract_y
_atom_site_fract_z
Dy1 Dy 0.500 0.000 0.000
Dy2 Dy 0.000 0.172 0.828
Dy3 Dy 0.000 0.828 0.172
Tm1 Tm 0.046 0.589 0.589
Tm2 Tm 0.954 0.411 0.411
Tm3 Tm 0.014 0.191 0.191
Tm4 Tm 0.986 0.809 0.809
Tm5 Tm 0.549 0.561 0.199
Tm6 Tm 0.549 0.199 0.561
Tm7 Tm 0.451 0.801 0.439
Tm8 Tm 0.451 0.439 0.801
Sc1 Sc 0.511 0.206 0.206
Sc2 Sc 0.489 0.794 0.794
# SG = C2/m (12)
# Distance to the lowest polymorph of the same formula = 0 meV/atom
# Magnetic moment = 0.00 μB per formula unit
# Mass density = 7.87 g cm⁻³
# Final energy = -4.55 eV/atom



# 2
# DyTm12Sc7 | Alexandria | PBE | relaxed
data_DyTm12Sc7
_chemical_formula_sum 'Dy1 Tm12 Sc7'
_cell_length_a 9.576
_cell_length_b 9.576
_cell_length_c 9.576
_cell_angle_alpha 112.71
_cell_angle_beta 112.71
_cell_angle_gamma 112.71
_symmetry_space_group_name_H-M 'P 1'
_symmetry_Int_Tables_number 1
loop_
_symmetry_equiv_pos_as_xyz
'x,y,z'
loop_
_atom_site_label
_atom_site_type_symbol
_atom_site_fract_x
_atom_site_fract_y
_atom_site_fract_z
Dy1 Dy 0.000 0.000 0.000
Tm1 Tm 0.000 0.282 0.718
Tm2 Tm 0.718 0.282 0.000
Tm3 Tm 0.430 0.097 0.430
Tm4 Tm 0.903 0.570 0.570
Tm5 Tm 0.282 0.000 0.718
Tm6 Tm 0.570 0.570 0.903
Tm7 Tm 0.430 0.430 0.097
Tm8 Tm 0.718 0.000 0.282
Tm9 Tm 0.097 0.430 0.430
Tm10 Tm 0.570 0.903 0.570
Tm11 Tm 0.282 0.718 0.000
Tm12 Tm 0.000 0.718 0.282
Sc1 Sc 0.846 0.517 0.846
Sc2 Sc 0.483 0.154 0.154
Sc3 Sc 0.154 0.154 0.483
Sc4 Sc 0.500 0.500 0.500
Sc5 Sc 0.846 0.846 0.517
Sc6 Sc 0.517 0.846 0.846
Sc7 Sc 0.154 0.483 0.154
# SG = R-3m (166)
# Distance to the lowest polymorph of the same formula = 0 meV/atom
# Magnetic moment = 0.00 μB per formula unit
# Mass density = 7.16 g cm⁻³
# Final energy = -4.85 eV/atom



# 3
# DyTm2Sc5 | Alexandria | PBE | relaxed
data_DyTm2Sc5
_chemical_formula_sum 'Dy1 Tm2 Sc5'
_cell_length_a 6.313
_cell_length_b 6.826
_cell_length_c 6.826
_cell_angle_alpha 119.98
_cell_angle_beta 105.67
_cell_angle_gamma 105.71
_symmetry_space_group_name_H-M 'P 1'
_symmetry_Int_Tables_number 1
loop_
_symmetry_equiv_pos_as_xyz
'x,y,z'
loop_
_atom_site_label
_atom_site_type_symbol
_atom_site_fract_x
_atom_site_fract_y
_atom_site_fract_z
Dy1 Dy 0.786 0.822 0.964
Tm1 Tm 0.277 0.737 0.539
Tm2 Tm 0.770 0.314 0.456
Sc1 Sc 0.278 0.236 0.546
Sc2 Sc 0.278 0.732 0.042
Sc3 Sc 0.778 0.321 0.957
Sc4 Sc 0.778 0.821 0.457
Sc5 Sc 0.279 0.240 0.039
# SG = Cm (8)
# Distance to the lowest polymorph of the same formula = 0 meV/atom
# Magnetic moment = 0.00 μB per formula unit
# Mass density = 5.62 g cm⁻³
# Final energy = -5.63 eV/atom



# 4
# Dy3Tm2Sc | Alexandria | PBE | relaxed
data_Dy3Tm2Sc
_chemical_formula_sum 'Dy6 Tm4 Sc2'
_cell_length_a 3.460
_cell_length_b 6.584
_cell_length_c 16.951
_cell_angle_alpha 80.26
_cell_angle_beta 84.14
_cell_angle_gamma 74.77
_symmetry_space_group_name_H-M 'P 1'
_symmetry_Int_Tables_number 1
loop_
_symmetry_equiv_pos_as_xyz
'x,y,z'
loop_
_atom_site_label
_atom_site_type_symbol
_atom_site_fract_x
_atom_site_fract_y
_atom_site_fract_z
Dy1 Dy 0.067 0.035 0.831
Dy2 Dy 0.933 0.965 0.169
Dy3 Dy 0.627 0.734 0.012
Dy4 Dy 0.373 0.266 0.988
Dy5 Dy 0.740 0.857 0.663
Dy6 Dy 0.260 0.143 0.337
Tm1 Tm 0.802 0.562 0.834
Tm2 Tm 0.198 0.438 0.166
Tm3 Tm 0.631 0.236 0.503
Tm4 Tm 0.369 0.764 0.497
Sc1 Sc 0.461 0.394 0.685
Sc2 Sc 0.539 0.606 0.315
# SG = C2/m (12)
# Distance to the lowest polymorph of the same formula = 97 meV/atom
# Magnetic moment = 0.00 μB per formula unit
# Mass density = 7.89 g cm⁻³
# Final energy = -4.73 eV/atom



# 5
# Dy2Tm4Sc | Alexandria | PBE | relaxed
data_Dy2Tm4Sc
_chemical_formula_sum 'Dy8 Tm16 Sc4'
_cell_length_a 5.446
_cell_length_b 12.064
_cell_length_c 12.958
_cell_angle_alpha 90.00
_cell_angle_beta 90.00
_cell_angle_gamma 90.00
_symmetry_space_group_name_H-M 'P 1'
_symmetry_Int_Tables_number 1
loop_
_symmetry_equiv_pos_as_xyz
'x,y,z'
loop_
_atom_site_label
_atom_site_type_symbol
_atom_site_fract_x
_atom_site_fract_y
_atom_site_fract_z
Dy1 Dy 0.000 0.929 0.845
Dy2 Dy 0.500 0.571 0.155
Dy3 Dy 0.000 0.429 0.655
Dy4 Dy 0.500 0.071 0.345
Dy5 Dy 0.000 0.071 0.155
Dy6 Dy 0.500 0.429 0.845
Dy7 Dy 0.000 0.571 0.345
Dy8 Dy 0.500 0.929 0.655
Tm1 Tm 0.001 0.745 0.575
Tm2 Tm 0.501 0.755 0.425
Tm3 Tm 0.999 0.245 0.925
Tm4 Tm 0.499 0.255 0.075
Tm5 Tm 0.999 0.255 0.425
Tm6 Tm 0.499 0.245 0.575
Tm7 Tm 0.001 0.755 0.075
Tm8 Tm 0.501 0.745 0.925
Tm9 Tm 0.999 0.146 0.680
Tm10 Tm 0.499 0.354 0.320
Tm11 Tm 0.001 0.646 0.820
Tm12 Tm 0.501 0.854 0.180
Tm13 Tm 0.001 0.854 0.320
Tm14 Tm 0.501 0.646 0.680
Tm15 Tm 0.999 0.354 0.180
Tm16 Tm 0.499 0.146 0.820
Sc1 Sc 0.000 0.000 0.500
Sc2 Sc 0.500 0.500 0.500
Sc3 Sc 0.000 0.500 0.000
Sc4 Sc 0.500 0.000 0.000
# SG = Cmce (64)
# Distance to the lowest polymorph of the same formula = 174 meV/atom
# Magnetic moment = 0.00 μB per formula unit
# Mass density = 8.16 g cm⁻³
# Final energy = -4.59 eV/atom



# 6
# DyTm7Sc3 | Alexandria | PBE | relaxed
data_DyTm7Sc3
_chemical_formula_sum 'Dy1 Tm7 Sc3'
_cell_length_a 8.186
_cell_length_b 6.864
_cell_length_c 6.864
_cell_angle_alpha 120.00
_cell_angle_beta 90.00
_cell_angle_gamma 90.00
_symmetry_space_group_name_H-M 'P 1'
_symmetry_Int_Tables_number 1
loop_
_symmetry_equiv_pos_as_xyz
'x,y,z'
loop_
_atom_site_label
_atom_site_type_symbol
_atom_site_fract_x
_atom_site_fract_y
_atom_site_fract_z
Dy1 Dy 0.451 0.333 0.667
Tm1 Tm 0.109 0.168 0.832
Tm2 Tm 0.109 0.168 0.336
Tm3 Tm 0.115 0.667 0.333
Tm4 Tm 0.458 0.832 0.168
Tm5 Tm 0.458 0.336 0.168
Tm6 Tm 0.458 0.832 0.664
Tm7 Tm 0.109 0.664 0.832
Sc1 Sc 0.784 0.500 0.500
Sc2 Sc 0.784 0.500 0.001
Sc3 Sc 0.784 0.999 0.500
# SG = P3m1 (156)
# Magnetic moment = 0.03 μB per formula unit
# Mass density = 7.36 g cm⁻³
# Final energy = -4.77 eV/atom



# 7
# Dy8Tm3Sc3 | Alexandria | PBE | relaxed
data_Dy8Tm3Sc3
_chemical_formula_sum 'Dy8 Tm3 Sc3'
_cell_length_a 5.481
_cell_length_b 9.408
_cell_length_c 9.408
_cell_angle_alpha 102.63
_cell_angle_beta 73.07
_cell_angle_gamma 73.07
_symmetry_space_group_name_H-M 'P 1'
_symmetry_Int_Tables_number 1
loop_
_symmetry_equiv_pos_as_xyz
'x,y,z'
loop_
_atom_site_label
_atom_site_type_symbol
_atom_site_fract_x
_atom_site_fract_y
_atom_site_fract_z
Dy1 Dy 0.658 0.122 0.562
Dy2 Dy 0.342 0.878 0.438
Dy3 Dy 0.658 0.562 0.121
Dy4 Dy 0.342 0.438 0.879
Dy5 Dy 0.839 0.764 0.559
Dy6 Dy 0.161 0.236 0.441
Dy7 Dy 0.839 0.559 0.764
Dy8 Dy 0.161 0.441 0.236
Tm1 Tm 0.500 0.000 0.000
Tm2 Tm 0.000 0.824 0.176
Tm3 Tm 0.000 0.176 0.824
Sc1 Sc 0.500 0.500 0.500
Sc2 Sc 0.796 0.204 0.204
Sc3 Sc 0.204 0.796 0.796
# SG = Immm (71)
# Magnetic moment = 0.00 μB per formula unit
# Mass density = 7.70 g cm⁻³
# Final energy = -4.82 eV/atom



# 8
# DyTm2Sc4 | Alexandria | PBE | relaxed
data_DyTm2Sc4
_chemical_formula_sum 'Dy1 Tm2 Sc4'
_cell_length_a 3.353
_cell_length_b 7.624
_cell_length_c 7.624
_cell_angle_alpha 87.37
_cell_angle_beta 90.00
_cell_angle_gamma 90.00
_symmetry_space_group_name_H-M 'P 1'
_symmetry_Int_Tables_number 1
loop_
_symmetry_equiv_pos_as_xyz
'x,y,z'
loop_
_atom_site_label
_atom_site_type_symbol
_atom_site_fract_x
_atom_site_fract_y
_atom_site_fract_z
Dy1 Dy 0.500 0.500 0.500
Tm1 Tm 0.000 0.804 0.196
Tm2 Tm 0.000 0.196 0.804
Sc1 Sc 0.000 0.771 0.771
Sc2 Sc 0.000 0.229 0.229
Sc3 Sc 0.500 0.000 0.500
Sc4 Sc 0.500 0.500 0.000
# SG = Cmmm (65)
# Distance to the lowest polymorph of the same formula = 7 meV/atom
# Magnetic moment = 0.00 μB per formula unit
# Mass density = 5.80 g cm⁻³
# Final energy = -5.37 eV/atom



What is the final energy in the seventh record?
-4.82 eV/atom



Which value of mass density does entry 5 give?
8.16 g cm⁻³



What is the magnetic moment in the sixth record?
0.03 μB per formula unit